This record from Alexandria via LeMat-Bulk describes ScTc2Pt after structural relaxation. The functional is GGA-PBE.

* symmetry: Cmmm
* energy relative to the lowest polymorph listed for this composition: 191 meV per atom
* raw total energy: -0.3093 Ha/atom
* size of the total moment: 0.000 μB per formula unit
* calculated volume: 15.818 Å³/atom

Structure (extended XYZ):
```
4
Lattice="5.007 -0.024 0.000 -1.979 4.600 0.000 0.000 0.000 2.753" Properties=species:S:1:pos:R:3 pbc="T T T"
Pt 2.504 -0.012 1.376
Sc -0.989 2.300 1.376
Tc 0.000 0.000 0.000
Tc 1.514 2.288 0.000
```

This record from Alexandria via LeMat-Bulk describes Sc2TcPt after structural relaxation. The functional is GGA-PBE.

* symmetry: R-3m
* energy relative to the lowest polymorph listed for this composition: 385 meV per atom
* raw total energy: -0.2804 Ha/atom
* size of the total moment: 0.000 μB per formula unit
* calculated volume: 18.168 Å³/atom

Structure (extended XYZ):
```
4
Lattice="-7.470 3.764 0.134 -8.258 0.798 1.068 -7.154 2.914 3.211" Properties=species:S:1:pos:R:3 pbc="T T T"
Pt -17.161 5.607 3.310
Sc -22.812 7.453 4.400
Sc -11.510 3.761 2.220
Tc -5.720 1.869 1.103
```

This record from Alexandria via LeMat-Bulk describes Sc2TcPt after structural relaxation. The functional is GGA-PBE.

* symmetry: Fm-3m
* energy relative to the lowest polymorph listed for this composition: 0 meV per atom
* raw total energy: -0.2946 Ha/atom
* size of the total moment: 0.000 μB per formula unit
* calculated volume: 17.167 Å³/atom

Structure (extended XYZ):
```
4
Lattice="0.000 3.250 3.250 3.250 0.000 3.250 3.250 3.250 0.000" Properties=species:S:1:pos:R:3 pbc="T T T"
Sc 1.625 1.625 1.625
Sc 4.875 4.875 4.875
Tc 0.000 0.000 0.000
Pt 3.250 3.250 3.250
```

This record from Alexandria via LeMat-Bulk describes ScTc3Pt after structural relaxation. The functional is GGA-PBE.

* symmetry: Pm-3m
* energy relative to the lowest polymorph listed for this composition: 0 meV per atom
* raw total energy: -0.2666 Ha/atom
* size of the total moment: 0.000 μB per formula unit
* calculated volume: 21.366 Å³/atom

Structure (extended XYZ):
```
5
Lattice="4.745 0.000 0.000 0.000 4.745 0.000 0.000 0.000 4.745" Properties=species:S:1:pos:R:3 pbc="T T T"
Sc 2.372 2.372 2.372
Tc 0.000 2.372 0.000
Tc 0.000 0.000 2.372
Tc 2.372 0.000 0.000
Pt 0.000 0.000 0.000
```

This record from Alexandria via LeMat-Bulk describes Sc2TcPt after structural relaxation. The functional is GGA-PBE.

* symmetry: Pmm2
* energy relative to the lowest polymorph listed for this composition: 327 meV per atom
* raw total energy: -0.2826 Ha/atom
* size of the total moment: 0.000 μB per formula unit
* calculated volume: 17.936 Å³/atom

Structure (extended XYZ):
```
4
Lattice="2.923 0.000 0.000 0.000 4.445 0.000 0.000 0.000 5.521" Properties=species:S:1:pos:R:3 pbc="T T T"
Pt 1.462 2.223 4.347
Sc 0.000 0.000 5.288
Sc 1.462 2.223 1.624
Tc 0.000 0.000 2.542
```

This record from Alexandria via LeMat-Bulk describes ScTc2Pt after structural relaxation. The functional is GGA-PBE.

* symmetry: F-43m
* energy relative to the lowest polymorph listed for this composition: 112 meV per atom
* raw total energy: -0.3122 Ha/atom
* size of the total moment: 0.900 μB per formula unit
* calculated volume: 16.030 Å³/atom

Structure (extended XYZ):
```
4
Lattice="4.493 0.000 0.000 2.246 3.891 0.000 2.246 1.297 3.668" Properties=species:S:1:pos:R:3 pbc="T T T"
Pt 4.493 2.594 1.834
Sc 6.739 3.891 2.751
Tc 0.000 0.000 0.000
Tc 2.246 1.297 0.917
```

This record from Alexandria via LeMat-Bulk describes Sc2TcPt after structural relaxation. The functional is GGA-PBE.

* symmetry: P4mm
* energy relative to the lowest polymorph listed for this composition: 536 meV per atom
* raw total energy: -0.2749 Ha/atom
* size of the total moment: 0.006 μB per formula unit
* calculated volume: 18.471 Å³/atom

Structure (extended XYZ):
```
4
Lattice="-0.584 0.696 2.757 -2.765 -0.796 -0.384 2.005 -8.166 2.485" Properties=species:S:1:pos:R:3 pbc="T T T"
Pt -0.202 -6.046 3.011
Sc 1.929 -7.856 2.390
Sc -1.104 -2.374 1.894
Tc 1.041 -4.239 1.290
```

This record from Alexandria via LeMat-Bulk describes ScTc2Pt after structural relaxation. The functional is GGA-PBE.

* symmetry: C2/m
* energy relative to the lowest polymorph listed for this composition: 135 meV per atom
* raw total energy: -0.3113 Ha/atom
* size of the total moment: 0.000 μB per formula unit
* calculated volume: 15.969 Å³/atom

Structure (extended XYZ):
```
4
Lattice="-0.951 3.472 3.471 -3.153 1.706 3.487 1.804 -2.216 3.840" Properties=species:S:1:pos:R:3 pbc="T T T"
Pt -1.726 2.222 8.098
Sc -0.575 0.741 2.699
Tc 1.752 -2.152 3.882
Tc -1.099 1.417 5.356
```

This record from Alexandria via LeMat-Bulk describes Sc2TcPt after structural relaxation. The functional is GGA-PBE.

* symmetry: P4mm
* energy relative to the lowest polymorph listed for this composition: 382 meV per atom
* raw total energy: -0.2806 Ha/atom
* size of the total moment: 0.001 μB per formula unit
* calculated volume: 18.343 Å³/atom

Structure (extended XYZ):
```
4
Lattice="-0.217 3.464 0.845 -3.080 -0.609 1.704 2.892 -1.006 4.868" Properties=species:S:1:pos:R:3 pbc="T T T"
Pt 0.612 0.642 5.080
Sc 2.772 -0.964 4.666
Sc -0.800 1.133 2.702
Tc 1.349 -0.469 2.270
```

This record from Alexandria via LeMat-Bulk describes ScTc2Pt after structural relaxation. The functional is GGA-PBE.

* symmetry: Imm2
* energy relative to the lowest polymorph listed for this composition: 55 meV per atom
* raw total energy: -0.3143 Ha/atom
* size of the total moment: 0.000 μB per formula unit
* calculated volume: 15.971 Å³/atom

Structure (extended XYZ):
```
4
Lattice="4.795 -0.042 -0.026 1.338 4.605 0.026 -2.909 -2.493 2.884" Properties=species:S:1:pos:R:3 pbc="T T T"
Pt 3.082 2.292 0.000
Sc 0.707 2.166 1.455
Tc 6.074 4.518 0.000
Tc 2.561 -0.064 1.429
```

This record from Alexandria via LeMat-Bulk describes Sc2TcPt after structural relaxation. The functional is GGA-PBE.

* symmetry: R3m
* energy relative to the lowest polymorph listed for this composition: 763 meV per atom
* raw total energy: -0.2666 Ha/atom
* size of the total moment: 0.745 μB per formula unit
* calculated volume: 18.466 Å³/atom

Structure (extended XYZ):
```
4
Lattice="-5.712 7.682 1.002 -7.789 5.651 0.247 -6.924 5.921 3.108" Properties=species:S:1:pos:R:3 pbc="T T T"
Pt -15.387 14.505 3.283
Sc -0.172 0.162 0.037
Sc -4.923 4.641 1.050
Tc -10.155 9.573 2.166
```

This record from Alexandria via LeMat-Bulk describes Sc8Tc2Pt after structural relaxation. The functional is GGA-PBE.

* symmetry: C2/m
* raw total energy: -0.2726 Ha/atom
* size of the total moment: 0.000 μB per formula unit
* calculated volume: 20.658 Å³/atom

Structure (extended XYZ):
```
11
Lattice="-3.984 1.039 2.012 -3.229 -2.139 -5.287 3.567 -6.220 5.055" Properties=species:S:1:pos:R:3 pbc="T T T"
Sc -4.095 -2.228 -1.738
Sc -0.943 -5.104 0.768
Sc 0.303 -2.479 1.880
Sc -0.791 -0.869 -1.117
Sc -3.949 -4.841 -0.100
Sc -2.702 -2.216 1.012
Sc 0.449 -5.092 3.518
Sc -2.855 -6.451 2.897
Tc -1.604 -3.466 -1.386
Tc -2.041 -3.854 3.166
Pt -1.992 0.519 1.006
```

This record from Alexandria via LeMat-Bulk describes ScTc2Pt after structural relaxation. The functional is GGA-PBE.

* symmetry: Cm
* energy relative to the lowest polymorph listed for this composition: 111 meV per atom
* raw total energy: -0.3122 Ha/atom
* size of the total moment: 0.000 μB per formula unit
* calculated volume: 16.028 Å³/atom

Structure (extended XYZ):
```
4
Lattice="-2.133 1.542 -4.009 -0.284 -0.440 -4.768 -3.691 -3.394 -0.131" Properties=species:S:1:pos:R:3 pbc="T T T"
Pt -2.986 -1.096 -4.419
Sc -1.588 -0.649 -2.176
Tc -3.566 -3.260 -0.176
Tc -4.715 -1.827 -6.724
```

This record from Alexandria via LeMat-Bulk describes ScTc2Pt after structural relaxation. The functional is GGA-PBE.

* symmetry: P4mm
* energy relative to the lowest polymorph listed for this composition: 0 meV per atom
* raw total energy: -0.3163 Ha/atom
* size of the total moment: 0.000 μB per formula unit
* calculated volume: 16.363 Å³/atom

Structure (extended XYZ):
```
4
Lattice="-2.725 0.646 -1.021 -0.690 -2.900 0.005 -2.451 0.596 6.921" Properties=species:S:1:pos:R:3 pbc="T T T"
Pt -1.216 0.296 3.435
Sc -3.555 -0.678 4.707
Tc -0.066 0.016 0.186
Tc -2.255 -0.994 1.038
```

This record from Alexandria via LeMat-Bulk describes ScTc3Pt after structural relaxation. The functional is GGA-PBE.

* symmetry: Pm-3m
* energy relative to the lowest polymorph listed for this composition: 316 meV per atom
* raw total energy: -0.2550 Ha/atom
* size of the total moment: 0.000 μB per formula unit
* calculated volume: 18.147 Å³/atom

Structure (extended XYZ):
```
5
Lattice="-1.906 4.069 -0.074 -1.424 -0.744 -4.196 -3.812 -1.756 1.605" Properties=species:S:1:pos:R:3 pbc="T T T"
Sc 0.000 0.000 0.000
Tc -0.712 -0.372 -2.098
Tc -1.906 -0.878 0.802
Tc -0.953 2.034 -0.037
Pt -3.571 0.784 -1.333
```

This record from Alexandria via LeMat-Bulk describes ScTc2Pt after structural relaxation. The functional is GGA-PBE.

* symmetry: R-3m
* energy relative to the lowest polymorph listed for this composition: 469 meV per atom
* raw total energy: -0.2990 Ha/atom
* size of the total moment: 0.000 μB per formula unit
* calculated volume: 16.156 Å³/atom

Structure (extended XYZ):
```
4
Lattice="9.377 -0.014 -0.008 8.950 2.797 -0.008 8.950 1.359 2.444" Properties=species:S:1:pos:R:3 pbc="T T T"
Pt 6.819 1.035 0.607
Sc 20.457 3.106 1.821
Tc 27.203 4.130 2.421
Tc 13.711 2.082 1.220
```

This record from Alexandria via LeMat-Bulk describes ScTc2Pt after structural relaxation. The functional is GGA-PBE.

* symmetry: P4/mmm
* energy relative to the lowest polymorph listed for this composition: 352 meV per atom
* raw total energy: -0.3034 Ha/atom
* size of the total moment: 0.000 μB per formula unit
* calculated volume: 16.217 Å³/atom

Structure (extended XYZ):
```
4
Lattice="-3.027 0.828 1.076 -1.341 -2.230 -2.058 0.373 -4.108 4.209" Properties=species:S:1:pos:R:3 pbc="T T T"
Pt -2.091 -1.728 0.561
Sc -1.905 -3.782 2.666
Tc 0.006 -0.068 0.069
Tc 0.180 -1.986 2.035
```

This record from Alexandria via LeMat-Bulk describes ScTc2Pt after structural relaxation. The functional is GGA-PBE.

* symmetry: Fm-3m
* energy relative to the lowest polymorph listed for this composition: 379 meV per atom
* raw total energy: -0.3023 Ha/atom
* size of the total moment: 0.000 μB per formula unit
* calculated volume: 15.938 Å³/atom

Structure (extended XYZ):
```
4
Lattice="-0.053 0.291 4.474 -1.319 3.798 1.984 -3.909 0.144 2.191" Properties=species:S:1:pos:R:3 pbc="T T T"
Sc 0.000 0.000 0.000
Tc -1.320 1.058 2.163
Tc -3.961 3.175 6.488
Pt -2.641 2.117 4.325
```

This record from Alexandria via LeMat-Bulk describes Sc2TcPt after structural relaxation. The functional is GGA-PBE.

* symmetry: P4/mmm
* energy relative to the lowest polymorph listed for this composition: 10 meV per atom
* raw total energy: -0.2942 Ha/atom
* size of the total moment: 0.000 μB per formula unit
* calculated volume: 17.278 Å³/atom

Structure (extended XYZ):
```
4
Lattice="3.305 0.000 0.000 0.000 4.573 0.000 0.000 0.000 4.573" Properties=species:S:1:pos:R:3 pbc="T T T"
Sc 0.000 0.000 2.286
Sc 0.000 2.286 0.000
Tc 1.653 0.000 0.000
Pt 1.653 2.286 2.286
```

This record from Alexandria via LeMat-Bulk describes Sc8TcPt2 after structural relaxation. The functional is GGA-PBE.

* symmetry: C2/m
* raw total energy: -0.2664 Ha/atom
* size of the total moment: 0.000 μB per formula unit
* calculated volume: 20.725 Å³/atom

Structure (extended XYZ):
```
11
Lattice="4.536 0.000 -1.225 -0.447 6.210 -1.655 -0.200 -0.432 8.271" Properties=species:S:1:pos:R:3 pbc="T T T"
Sc 2.470 2.697 0.136
Sc 1.369 -0.019 5.070
Sc 0.678 1.640 2.513
Sc -0.238 4.893 -0.883
Sc 3.210 4.138 2.878
Sc 2.520 5.797 0.321
Sc 1.419 3.081 5.255
Sc 4.127 0.884 6.274
Tc 2.268 0.000 -0.612
Pt 0.453 4.147 1.676
Pt 3.436 1.631 3.715
```

Energy of formation from the pure elements: -0.56; -1.45; -3.00; 7.20; -1.69; -0.87; -0.85; -0.78; -1.47; -1.10; 0.06; -4.16; -0.88; -1.32; 8.78; 0.56; 0.09; 0.20; -2.96; -6.65 (eV per formula unit)